[1]
Cs2U2TlO7 after structural relaxation. Source: the Alexandria database, functional PBE.

abc: 4.380 4.380 12.479
angles: 79.90 79.90 90.01
Each line ends with the local moment (μB).
Sites, in units of the cell vectors:
1 O 0.329 0.329 0.342  -0.02
2 O 0.910 0.410 0.180  -0.02
3 O 0.410 0.910 0.180  -0.02
4 O 0.590 0.090 0.820  -0.02
5 O 0.090 0.590 0.820  -0.02
6 O 0.500 0.500 0.000  -0.02
7 O 0.671 0.671 0.658  -0.02
8 U 0.589 0.589 0.821  0.55
9 U 0.411 0.411 0.179  0.55
10 Cs 0.190 0.190 0.620  0.00
11 Cs 0.810 0.810 0.380  0.00
12 Tl 0.000 0.000 0.000  0.00

Properties
* total DFT energy (no corrections): -92.22 eV for the cell shown
* uncorrected formation energy: -30.9 eV per formula unit
* spin magnetization: 1.00 μB per formula unit
* space-group type: I4/mmm (139)

[2]
MgCdAgSb after structural relaxation. Source: the Alexandria database, functional PBE.

abc: 5.037 5.037 5.037
angles: 60.00 60.00 60.00
Sites, in units of the cell vectors:
1 Cd 0.000 0.000 0.000
2 Sb 0.500 0.500 0.500
3 Mg 0.250 0.250 0.250
4 Ag 0.750 0.750 0.750

Properties
* total DFT energy (no corrections): -9.56 eV for the cell shown
* uncorrected formation energy: -0.1 eV per formula unit
* spin magnetization: 0.00 μB per formula unit
* space-group type: F-43m (216)

[3]
LaFeMo2 after structural relaxation. Source: the Alexandria database, functional PBE.

abc: 6.081 6.081 6.081
angles: 153.19 134.06 53.99
Sites, in units of the cell vectors:
1 La 0.250 0.750 0.500
2 Mo 0.547 0.547 0.000
3 Mo 0.953 0.953 0.000
4 Fe 0.750 0.250 0.500

Properties
* total DFT energy (no corrections): -32.83 eV for the cell shown
* formation energy: 2.2 eV/f.u.
* spin magnetization: 0.00 μB per formula unit
* space-group type: Immm (71)

[4]
FeHg2MoBr after structural relaxation. Source: the Alexandria database, functional PBE.

abc: 6.052 4.416 6.052
angles: 90.00 90.00 90.00
Each line ends with the local moment (μB).
Sites, in units of the cell vectors:
1 Mo 0.500 0.500 0.500  3.88
2 Br 0.000 0.000 0.000  0.09
3 Hg 0.500 0.000 0.000  0.00
4 Hg 0.000 0.000 0.500  0.03
5 Fe 0.000 0.500 0.000  2.75

Properties
* total DFT energy (no corrections): -13.93 eV for the cell shown
* uncorrected formation energy: 7.6 eV per formula unit
* spin magnetization: 7.94 μB per formula unit
* space-group type: P4/mmm (123)